--- a ---
## PmNd2Er9 (GGA-PBE)

Data for an optimized crystal structure of PmNd2Er9.

Mass density ... 8.4 g/cm3

a b c (Å): 3.505 11.222 11.222
angles (deg): 120.00 90.00 90.00
Fractional coordinates of all 12 atoms:
Er (0.000, 0.500, 0.000)
Er (0.500, 0.824, 0.649)
Er (0.000, 0.000, 0.500)
Er (0.500, 0.176, 0.351)
Er (0.500, 0.176, 0.824)
Er (0.500, 0.824, 0.176)
Er (0.500, 0.649, 0.824)
Er (0.000, 0.500, 0.500)
Er (0.500, 0.351, 0.176)
Nd (0.000, 0.333, 0.667)
Nd (0.000, 0.667, 0.333)
Pm (0.000, 0.000, 0.000)

---

--- b ---
## PmNd2Er9 (GGA-PBE)

Data for an optimized crystal structure of PmNd2Er9.

Mass density ... 8.5 g/cm3

a b c (Å): 5.016 5.016 15.044
angles (deg): 90.00 90.00 90.00
Fractional coordinates of all 12 atoms:
Nd (0.000, 0.000, 0.333)
Nd (0.000, 0.000, 0.667)
Pm (0.000, 0.000, 0.000)
Er (0.500, 0.500, 0.667)
Er (0.500, 0.000, 0.166)
Er (0.000, 0.500, 0.500)
Er (0.500, 0.000, 0.500)
Er (0.500, 0.500, 0.000)
Er (0.500, 0.000, 0.834)
Er (0.500, 0.500, 0.333)
Er (0.000, 0.500, 0.166)
Er (0.000, 0.500, 0.834)

---

The calculated energies rank the structures as follows, beginning with the most stable: b, a.

---

--- a ---
## Pm7Nd12Er (GGA-PBE)

Data for an optimized crystal structure of Pm7Nd12Er.

Mass density ... 6.7 g/cm3

a b c (Å): 6.938 11.175 11.175
angles (deg): 64.17 78.06 101.94
Fractional coordinates of all 20 atoms:
Nd (0.271, 0.523, 0.932)
Nd (0.711, 0.786, 0.786)
Nd (0.748, 0.545, 0.523)
Nd (0.925, 0.427, 0.786)
Nd (0.075, 0.573, 0.214)
Nd (0.502, 0.214, 0.573)
Nd (0.498, 0.786, 0.427)
Nd (0.796, 0.068, 0.455)
Nd (0.204, 0.932, 0.545)
Nd (0.252, 0.455, 0.477)
Nd (0.729, 0.477, 0.068)
Nd (0.289, 0.214, 0.214)
Pm (0.785, 0.161, 0.143)
Pm (0.623, 0.696, 0.161)
Pm (0.928, 0.143, 0.696)
Pm (0.072, 0.857, 0.304)
Pm (0.500, 0.000, 0.000)
Pm (0.215, 0.839, 0.857)
Pm (0.377, 0.304, 0.839)
Er (0.000, 0.000, 0.000)

---

--- b ---
## Pm7Nd12Er (GGA-PBE)

Data for an optimized crystal structure of Pm7Nd12Er.

Mass density ... 6.8 g/cm3

a b c (Å): 8.918 8.918 8.918
angles (deg): 87.53 87.53 87.53
Fractional coordinates of all 20 atoms:
Nd (0.614, 0.137, 0.492)
Nd (0.726, 0.854, 0.253)
Nd (0.274, 0.146, 0.747)
Nd (0.386, 0.863, 0.508)
Nd (0.747, 0.274, 0.146)
Nd (0.253, 0.726, 0.854)
Nd (0.137, 0.492, 0.614)
Nd (0.854, 0.253, 0.726)
Nd (0.508, 0.386, 0.863)
Nd (0.146, 0.747, 0.274)
Nd (0.492, 0.614, 0.137)
Nd (0.863, 0.508, 0.386)
Pm (0.925, 0.852, 0.607)
Pm (0.075, 0.148, 0.393)
Pm (0.148, 0.393, 0.075)
Pm (0.852, 0.607, 0.925)
Pm (0.393, 0.075, 0.148)
Pm (0.500, 0.500, 0.500)
Pm (0.607, 0.925, 0.852)
Er (0.000, 0.000, 0.000)

---

The calculated energies rank the structures as follows, beginning with the most stable: b, a.

---

--- a ---
## PmNd2Er3 (GGA-PBE)

Data for an optimized crystal structure of PmNd2Er3.

Mass density ... 7.8 g/cm3

a b c (Å): 3.505 10.308 11.814
angles (deg): 108.40 98.53 90.00
Fractional coordinates of all 12 atoms:
Er (0.442, 0.554, 0.883)
Er (0.306, 0.285, 0.611)
Er (0.694, 0.715, 0.389)
Er (0.069, 0.760, 0.139)
Er (0.558, 0.446, 0.117)
Er (0.931, 0.240, 0.861)
Nd (0.067, 0.137, 0.134)
Nd (0.690, 0.372, 0.381)
Nd (0.933, 0.863, 0.866)
Nd (0.310, 0.628, 0.619)
Pm (0.312, 0.964, 0.624)
Pm (0.688, 0.036, 0.376)

---

--- b ---
## PmNd2Er3 (GGA-PBE)

Data for an optimized crystal structure of PmNd2Er3.

Mass density ... 7.8 g/cm3

a b c (Å): 5.568 8.930 10.155
angles (deg): 122.32 90.00 108.17
Fractional coordinates of all 12 atoms:
Er (0.611, 0.223, 0.651)
Er (0.295, 0.590, 0.578)
Er (0.389, 0.777, 0.349)
Er (0.051, 0.103, 0.399)
Er (0.705, 0.410, 0.422)
Er (0.949, 0.897, 0.601)
Nd (0.775, 0.550, 0.132)
Nd (0.514, 0.029, 0.862)
Nd (0.225, 0.450, 0.868)
Nd (0.486, 0.971, 0.138)
Pm (0.135, 0.270, 0.143)
Pm (0.865, 0.730, 0.857)

---

The calculated energies rank the structures as follows, beginning with the most stable: b, a.

---

--- a ---
## Pm7NdEr2 (GGA-PBE)

Data for an optimized crystal structure of Pm7NdEr2.

Mass density ... 6.0 g/cm3

a b c (Å): 5.736 9.209 9.209
angles (deg): 122.10 90.00 90.00
Fractional coordinates of all 10 atoms:
Pm (0.000, 0.773, 0.227)
Pm (0.500, 0.295, 0.063)
Pm (0.500, 0.063, 0.295)
Pm (0.500, 0.500, 0.500)
Pm (0.500, 0.937, 0.705)
Pm (0.500, 0.705, 0.937)
Pm (0.000, 0.227, 0.773)
Er (0.500, 0.296, 0.704)
Er (0.500, 0.704, 0.296)
Nd (0.000, 0.000, 0.000)

---

--- b ---
## Pm7NdEr2 (GGA-PBE)

Data for an optimized crystal structure of Pm7NdEr2.

Mass density ... 6.9 g/cm3

a b c (Å): 3.505 10.413 10.413
angles (deg): 109.16 90.00 90.00
Fractional coordinates of all 10 atoms:
Pm (0.500, 0.876, 0.612)
Pm (0.000, 0.677, 0.323)
Pm (0.500, 0.124, 0.388)
Pm (0.500, 0.388, 0.124)
Pm (0.000, 0.323, 0.677)
Pm (0.500, 0.500, 0.500)
Pm (0.500, 0.612, 0.876)
Nd (0.000, 0.000, 0.000)
Er (0.500, 0.169, 0.831)
Er (0.500, 0.831, 0.169)

---

The calculated energies rank the structures as follows, beginning with the most stable: b, a.

---

--- a ---
## Pm8Nd3Er2 (GGA-PBE)

Data for an optimized crystal structure of Pm8Nd3Er2.

Mass density ... 7.0 g/cm3

a b c (Å): 5.795 7.754 10.908
angles (deg): 110.82 90.03 90.00
Fractional coordinates of all 13 atoms:
Pm (0.500, 0.183, 0.783)
Pm (0.999, 0.326, 0.651)
Pm (0.000, 0.865, 0.729)
Pm (0.001, 0.674, 0.349)
Pm (0.500, 0.817, 0.217)
Pm (0.500, 0.600, 0.783)
Pm (0.500, 0.400, 0.217)
Pm (0.000, 0.135, 0.271)
Nd (0.000, 0.289, 0.000)
Nd (0.500, 0.000, 0.000)
Nd (0.000, 0.711, 0.000)
Er (0.499, 0.241, 0.483)
Er (0.501, 0.759, 0.517)

---

--- b ---
## Pm8Nd3Er2 (GGA-PBE)

Data for an optimized crystal structure of Pm8Nd3Er2.

Mass density ... 7.2 g/cm3

a b c (Å): 6.223 8.877 8.877
angles (deg): 83.68 72.75 72.75
Fractional coordinates of all 13 atoms:
Nd (0.500, 0.000, 0.000)
Nd (0.000, 0.757, 0.243)
Nd (0.000, 0.243, 0.757)
Er (0.643, 0.712, 0.712)
Er (0.357, 0.288, 0.288)
Pm (0.050, 0.845, 0.845)
Pm (0.215, 0.555, 0.555)
Pm (0.326, 0.430, 0.917)
Pm (0.674, 0.083, 0.570)
Pm (0.326, 0.917, 0.430)
Pm (0.950, 0.155, 0.155)
Pm (0.785, 0.445, 0.445)
Pm (0.674, 0.570, 0.083)

---

The calculated energies rank the structures as follows, beginning with the most stable: b, a.

---

--- a ---
## Pm3Nd4Er2 (GGA-PBE)

Data for an optimized crystal structure of Pm3Nd4Er2.

Mass density ... 7.3 g/cm3

a b c (Å): 6.285 6.290 13.081
angles (deg): 118.62 103.87 120.04
Fractional coordinates of all 9 atoms:
Er (0.220, 0.441, 0.665)
Er (0.780, 0.559, 0.335)
Nd (0.666, 0.331, 0.000)
Nd (0.111, 0.223, 0.334)
Nd (0.334, 0.669, 0.000)
Nd (0.889, 0.777, 0.666)
Pm (0.446, 0.890, 0.335)
Pm (0.000, 0.000, 0.000)
Pm (0.554, 0.110, 0.665)

---

--- b ---
## Pm3Nd4Er2 (GGA-PBE)

Data for an optimized crystal structure of Pm3Nd4Er2.

Mass density ... 7.2 g/cm3

a b c (Å): 3.628 3.628 27.101
angles (deg): 90.00 90.00 120.00
Fractional coordinates of all 9 atoms:
Er (0.667, 0.333, 0.086)
Er (0.667, 0.333, 0.874)
Nd (0.667, 0.333, 0.433)
Nd (0.667, 0.333, 0.212)
Nd (0.000, 0.000, 0.545)
Nd (0.000, 0.000, 0.769)
Pm (0.000, 0.000, 0.982)
Pm (0.000, 0.000, 0.320)
Pm (0.667, 0.333, 0.656)

---

The calculated energies rank the structures as follows, beginning with the most stable: a, b.

---

--- a ---
## Pm2Nd3Er4 (GGA-PBE)

Data for an optimized crystal structure of Pm2Nd3Er4.

Mass density ... 7.8 g/cm3

a b c (Å): 6.107 11.318 11.318
angles (deg): 62.28 63.54 63.54
Fractional coordinates of all 18 atoms:
Pm (0.428, 0.244, 0.513)
Pm (0.928, 0.513, 0.244)
Pm (0.572, 0.756, 0.487)
Pm (0.072, 0.487, 0.756)
Er (0.576, 0.085, 0.818)
Er (0.909, 0.856, 0.585)
Er (0.591, 0.415, 0.144)
Er (0.076, 0.818, 0.085)
Er (0.424, 0.915, 0.182)
Er (0.409, 0.585, 0.856)
Er (0.091, 0.144, 0.415)
Er (0.924, 0.182, 0.915)
Nd (0.250, 0.606, 0.394)
Nd (0.234, 0.940, 0.731)
Nd (0.766, 0.060, 0.269)
Nd (0.266, 0.269, 0.060)
Nd (0.750, 0.394, 0.606)
Nd (0.734, 0.731, 0.940)

---

--- b ---
## Pm2Nd3Er4 (GGA-PBE)

Data for an optimized crystal structure of Pm2Nd3Er4.

Mass density ... 7.8 g/cm3

a b c (Å): 6.233 9.516 6.222
angles (deg): 96.17 99.60 123.18
Fractional coordinates of all 9 atoms:
Pm (0.666, 0.333, 0.332)
Pm (0.334, 0.667, 0.668)
Er (0.221, 0.446, 0.110)
Er (0.779, 0.554, 0.890)
Er (0.559, 0.112, 0.778)
Er (0.441, 0.888, 0.222)
Nd (0.000, 0.000, 0.000)
Nd (0.112, 0.223, 0.558)
Nd (0.888, 0.777, 0.442)

---

The calculated energies rank the structures as follows, beginning with the most stable: b, a.

---

--- a ---
## Pm3Nd7Er2 (GGA-PBE)

Data for an optimized crystal structure of Pm3Nd7Er2.

Mass density ... 7.1 g/cm3

a b c (Å): 3.628 5.956 19.809
angles (deg): 104.22 90.00 90.00
Fractional coordinates of all 12 atoms:
Nd (0.000, 0.465, 0.146)
Nd (0.500, 0.278, 0.535)
Nd (0.000, 0.535, 0.854)
Nd (0.500, 0.001, 0.818)
Nd (0.500, 0.722, 0.465)
Nd (0.500, 0.999, 0.182)
Nd (0.000, 0.000, 0.000)
Pm (0.000, 0.150, 0.366)
Pm (0.500, 0.500, 0.000)
Pm (0.000, 0.850, 0.634)
Er (0.500, 0.411, 0.704)
Er (0.500, 0.589, 0.296)

---

--- b ---
## Pm3Nd7Er2 (GGA-PBE)

Data for an optimized crystal structure of Pm3Nd7Er2.

Mass density ... 6.8 g/cm3

a b c (Å): 6.647 6.647 11.971
angles (deg): 73.88 73.88 60.00
Fractional coordinates of all 12 atoms:
Nd (0.586, 0.586, 0.749)
Nd (0.586, 0.078, 0.749)
Nd (0.414, 0.922, 0.251)
Nd (0.078, 0.586, 0.749)
Nd (0.500, 0.500, 0.500)
Nd (0.414, 0.414, 0.251)
Nd (0.922, 0.414, 0.251)
Pm (0.000, 0.000, 0.000)
Pm (0.847, 0.847, 0.458)
Pm (0.153, 0.153, 0.542)
Er (0.666, 0.666, 0.002)
Er (0.334, 0.334, 0.998)

---

The calculated energies rank the structures as follows, beginning with the most stable: a, b.